DFT (PBE) results for a relaxed structure of K2InW.

```
K2InW
1.0
3.0419 0.0000 0.0000
0.0000 4.6347 0.0000
0.0000 0.0000 10.1107
K W In
2 1 1
direct
0.0000 0.0000 0.9275 K
0.5000 0.5000 0.3227 K
0.0000 0.0000 0.5926 W
0.5000 0.5000 0.6572 In
```

Computed properties:
As for the space group: Pmm2, No. 25. For the formation energy, the calculation gives 880 meV per atom.

DFT (PBE) results for a relaxed structure of Ba2BeN2.

```
Ba2BeN2
1.0
5.2489 0.0000 2.3176
2.5609 5.9767 1.3028
0.2015 -0.0732 6.6463
N Be Ba
4 2 4
direct
0.5433 0.7984 0.1149 N
0.8056 0.7811 0.6077 N
0.1944 0.2189 0.3923 N
0.4567 0.2016 0.8851 N
0.3814 0.0902 0.1470 Be
0.6186 0.9098 0.8530 Be
0.6783 0.1891 0.4542 Ba
0.8926 0.3960 0.8188 Ba
0.3217 0.8109 0.5458 Ba
0.1074 0.6040 0.1812 Ba
```

Computed properties:
As for the space group: C2/m, No. 12. The energy relative to the elements, uncorrected comes out at -14.6 kcal/mol of atoms.

DFT (PBE) results for a relaxed structure of Li6MgAl.

```
Li6MgAl
1.0
-3.4508 2.6018 3.3500
0.3349 -5.4566 0.1131
7.1739 3.1992 0.4255
Mg Li Al
1 6 1
direct
0.5000 0.5000 0.5000 Mg
0.2397 0.7403 0.2392 Li
0.7379 0.7379 0.2385 Li
0.2621 0.2621 0.7615 Li
0.7603 0.2597 0.7608 Li
0.2597 0.7603 0.7608 Li
0.7403 0.2397 0.2392 Li
0.0000 0.0000 0.0000 Al
```

Computed properties:
As for the space group: C2/m, No. 12. The calculation puts the energy above the most stable polymorph in this dataset at 0 meV/atom. For the formation energy, the calculation gives -42 meV per atom.

DFT (PBE) results for a relaxed structure of Ca2AcSn.

```
Ca2AcSn
1.0
-2.6598 -2.7560 -3.7285
2.5771 -3.5693 -3.0316
-1.2500 -6.4697 1.8424
Ca Ac Sn
2 1 1
direct
0.0404 0.0404 0.8787 Ca
0.2768 0.2768 0.1697 Ca
0.4910 0.4910 0.5270 Ac
0.6918 0.6918 0.9246 Sn
```

Computed properties:
As for the space group: R3m, No. 160. The calculation puts the energy above the most stable polymorph in this dataset at 157 meV/atom. For the formation energy, the calculation gives -254 meV per atom.